Entry from the Alexandria database: a relaxed Sr6Pd2Pt crystal (PBE).

## Properties
For the density of states at the Fermi level, the calculation gives 7.90 states/eV/cell. Its formation energy is -0.5124 eV per atom. The value obtained for the raw total energy is -3.46 eV per atom. The calculation puts the density at 4.41 Mg/m³.

Unit cell a=7.1273 b=7.6169 c=12.9593 alpha=89.98 beta=90.00 gamma=90.00
With the nearest neighbours (Å) after each atom.
Element x y z (fractional)
1 Sr 0.2435 0.1671 0.3361  1 Pt 3.02, 2 Pd 3.05-3.07
2 Sr 0.2277 0.6692 0.5002  1 Pt 3.00, 2 Pd 3.08
3 Sr 0.7723 0.3308 0.4998  1 Pt 3.00, 2 Pd 3.08
4 Pd 0.0007 0.4998 0.3240  6 Sr 3.05-3.08
5 Pd 0.5007 0.0002 0.1760  6 Sr 3.05-3.08
6 Sr 0.2723 0.1692 0.0002  1 Pt 3.00, 2 Pd 3.08
7 Sr 0.7277 0.8308 0.9998  1 Pt 3.00, 2 Pd 3.08
8 Sr 0.2420 0.1673 0.6643  1 Pt 3.02, 2 Pd 3.05-3.07
9 Sr 0.7420 0.3327 0.8357  1 Pt 3.02, 2 Pd 3.05-3.07
10 Sr 0.7565 0.8329 0.6639  1 Pt 3.02, 2 Pd 3.05-3.07
11 Sr 0.2565 0.6671 0.8361  1 Pt 3.02, 2 Pd 3.05-3.07
12 Pd 0.9993 0.5002 0.6760  6 Sr 3.05-3.08
13 Pd 0.4993 0.9998 0.8240  6 Sr 3.05-3.08
14 Sr 0.2580 0.6673 0.1643  1 Pt 3.02, 2 Pd 3.05-3.07
15 Pt 0.0000 0.0000 0.5000  6 Sr 3.00-3.02
16 Sr 0.7435 0.3329 0.1639  1 Pt 3.02, 2 Pd 3.05-3.07
17 Sr 0.7580 0.8327 0.3357  1 Pt 3.02, 2 Pd 3.05-3.07
18 Pt 0.5000 0.5000 0.0000  6 Sr 3.00-3.02

***

Entry from the Alexandria database: a relaxed PaBC2 crystal (PBE).

## Properties
Its formation energy is -0.0381 eV per atom. The value obtained for the raw total energy is -8.69 eV per atom. The calculation puts the density at 7.22 Mg/m³.

Unit cell a=3.8132 b=3.8132 c=5.3339 alpha=69.06 beta=69.06 gamma=60.00
With the nearest neighbours (Å) after each atom.
Element x y z (fractional)
1 Pa 0.5000 0.5000 0.5000  6 C 2.41
2 C 0.9012 0.9012 0.2964  1 B 1.44
3 C 0.0988 0.0988 0.7036  1 B 1.44
4 B 0.0000 0.0000 0.0000  2 C 1.44

***

Entry from the Alexandria database: a relaxed Pr3Pt2 crystal (PBE).

## Properties
For the density of states at the Fermi level, the calculation gives 14.90 states/eV/cell. Its formation energy is -0.9177 eV per atom. The value obtained for the raw total energy is -6.20 eV per atom. The calculation puts the density at 9.87 Mg/m³.

Unit cell a=7.7737 b=7.7737 c=7.7737 alpha=71.56 beta=71.56 gamma=71.56
With the nearest neighbours (Å) after each atom.
Element x y z (fractional)
1 Pr 0.7993 0.7993 0.7993  6 Pt 2.99-3.20
2 Pr 0.1634 0.6652 0.3951  4 Pt 2.99-3.23
3 Pr 0.6049 0.8366 0.3348  4 Pt 2.99-3.23
4 Pt 0.1640 0.9574 0.5889  7 Pr 2.99-3.23, 1 Pt 3.07
5 Pt 0.5889 0.1640 0.9574  7 Pr 2.99-3.23, 1 Pt 3.07
6 Pr 0.3348 0.6049 0.8366  4 Pt 2.99-3.23
7 Pr 0.3951 0.1634 0.6652  4 Pt 2.99-3.23
8 Pr 0.0000 0.0000 0.0000  6 Pt 3.13, 2 Pr 3.45
9 Pr 0.8366 0.3348 0.6049  4 Pt 2.99-3.23
10 Pt 0.8360 0.0426 0.4111  7 Pr 2.99-3.23, 1 Pt 3.07
11 Pr 0.6652 0.3951 0.1634  4 Pt 2.99-3.23
12 Pt 0.0426 0.4111 0.8360  7 Pr 2.99-3.23, 1 Pt 3.07
13 Pt 0.9574 0.5889 0.1640  7 Pr 2.99-3.23, 1 Pt 3.07
14 Pr 0.2007 0.2007 0.2007  6 Pt 2.99-3.20
15 Pt 0.4111 0.8360 0.0426  7 Pr 2.99-3.23, 1 Pt 3.07

***

Entry from the Alexandria database: a relaxed HfAgC2 crystal (PBE).

## Properties
For the density of states at the Fermi level, the calculation gives 3.90 states/eV/cell. Its formation energy is 1.2087 eV per atom. The value obtained for the raw total energy is -6.60 eV per atom. The calculation puts the density at 10.76 Mg/m³.

Unit cell a=4.0770 b=4.0770 c=4.0770 alpha=60.00 beta=60.00 gamma=60.00
With the nearest neighbours (Å) after each atom.
Element x y z (fractional)
1 C 0.7500 0.7500 0.7500  4 Hf 2.50, 4 Ag 2.50
2 Hf 0.5000 0.5000 0.5000  8 C 2.50
3 C 0.2500 0.2500 0.2500  4 Hf 2.50, 4 Ag 2.50
4 Ag 0.0000 0.0000 0.0000  8 C 2.50

***

Entry from the Alexandria database: a relaxed TbDy2Ag crystal (PBE).

## Properties
For the density of states at the Fermi level, the calculation gives 5.27 states/eV/cell. Its formation energy is -0.0099 eV per atom. The value obtained for the raw total energy is -4.18 eV per atom. The calculation puts the density at 8.52 Mg/m³.

Unit cell a=3.5867 b=3.5867 c=10.5643 alpha=80.22 beta=80.22 gamma=59.96
With the nearest neighbours (Å) after each atom.
Element x y z (fractional)
1 Dy 0.2590 0.2590 0.2236  3 Ag 3.11
2 Tb 0.4998 0.4998 0.5002  6 Dy 3.53-3.54, 6 Tb 3.58-3.59
3 Ag 0.6667 0.6667 0.9997  6 Dy 3.10-3.11
4 Dy 0.0744 0.0744 0.7765  3 Ag 3.10

***

Entry from the Alexandria database: a relaxed AcHo2Sb crystal (PBE).

## Properties
For the density of states at the Fermi level, the calculation gives 5.46 states/eV/cell. The value obtained for the raw total energy is -4.80 eV per atom. The calculation puts the density at 9.04 Mg/m³. The calculation puts the uncorrected formation energy at -0.448 eV per atom.

Unit cell a=3.9722 b=3.9722 c=7.9040 alpha=90.00 beta=90.00 gamma=90.00
With the nearest neighbours (Å) after each atom.
Element x y z (fractional)
1 Sb 0.5000 0.5000 0.0000  8 Ho 3.23
2 Ac 0.5000 0.5000 0.5000  8 Ho 3.66, 2 Sb 3.95, 4 Ac 3.97
3 Ho 0.0000 0.0000 0.2024  1 Ho 3.20, 4 Sb 3.23
4 Ho 0.0000 0.0000 0.7976  1 Ho 3.20, 4 Sb 3.23

***

Entry from the Alexandria database: a relaxed NpMnPb2Se5 crystal (PBE).

## Properties
For the density of states at the Fermi level, the calculation gives 18.87 states/eV/cell. The value obtained for the raw total energy is -5.89 eV per atom. The calculation puts the density at 7.31 Mg/m³. The calculation puts the uncorrected formation energy at -0.676 eV per atom.

Unit cell a=4.1825 b=9.2179 c=13.3208 alpha=90.00 beta=90.00 gamma=103.11
With the nearest neighbours (Å) after each atom.
Element x y z (fractional)
1 Pb 0.1088 0.2177 0.6575  6 Se 2.98-3.27
2 Se 0.7176 0.4353 0.1749  2 Np 2.85, 1 Pb 3.12
3 Se 0.9493 0.8986 0.5467  2 Mn 2.53, 1 Np 2.83
4 Se 0.2824 0.5647 0.6749  2 Np 2.85, 1 Pb 3.12
5 Pb 0.1151 0.2302 0.3095  4 Se 2.97-3.31
6 Se 0.6355 0.2711 0.5023  1 Np 2.84, 2 Pb 2.98
7 Np 0.7923 0.5846 0.5303  6 Se 2.83-2.85
8 Pb 0.8849 0.7698 0.8095  4 Se 2.97-3.31
9 Se 0.3645 0.7289 0.0023  1 Np 2.84, 2 Pb 2.98
10 Pb 0.8912 0.7823 0.1575  6 Se 2.98-3.27
11 Np 0.2077 0.4154 0.0303  6 Se 2.83-2.85
12 Se 0.4994 0.9987 0.7749  1 Mn 2.46
13 Se 0.3072 0.6143 0.3872  1 Mn 2.50
14 Se 0.0507 0.1014 0.0467  2 Mn 2.53, 1 Np 2.83
15 Mn 0.5596 0.1192 0.9407  4 Se 2.46-2.53
16 Mn 0.4404 0.8808 0.4407  4 Se 2.46-2.53
17 Se 0.5006 0.0013 0.2749  1 Mn 2.46
18 Se 0.6928 0.3857 0.8872  1 Mn 2.50

***

Entry from the Alexandria database: a relaxed Ac2TbRhO6 crystal (PBE).

## Properties
For the density of states at the Fermi level, the calculation gives 0.00 states/eV/cell. The value obtained for the raw total energy is -7.63 eV per atom. The calculation puts the density at 8.94 Mg/m³. The calculation puts the uncorrected formation energy at -2.639 eV per atom.

Unit cell a=5.7980 b=6.1951 c=8.3992 alpha=90.00 beta=90.00 gamma=90.00
With the nearest neighbours (Å) after each atom.
Element x y z (fractional)
1 Tb 0.0000 0.7109 0.5000  6 O 2.18-2.25
2 O 0.7491 0.0111 0.0000  1 Rh 2.04, 1 Tb 2.25
3 Rh 0.0000 0.7803 0.0000  6 O 2.03-2.04
4 O 0.2414 0.4417 0.5000  1 Rh 2.03, 1 Tb 2.18
5 O 0.5000 0.2071 0.2568  1 Rh 2.04, 1 Tb 2.22
6 O 0.2491 0.9889 0.5000  1 Rh 2.04, 1 Tb 2.25
7 O 0.7414 0.5583 0.0000  1 Rh 2.03, 1 Tb 2.18
8 O 0.0000 0.7929 0.2432  1 Rh 2.04, 1 Tb 2.22
9 O 0.2586 0.5583 0.0000  1 Rh 2.03, 1 Tb 2.18
10 O 0.2509 0.0111 0.0000  1 Rh 2.04, 1 Tb 2.25
11 O 0.7586 0.4417 0.5000  1 Rh 2.03, 1 Tb 2.18
12 Ac 0.0000 0.2044 0.2769  5 O 2.56-2.76
13 Tb 0.5000 0.2891 0.0000  6 O 2.18-2.25
14 O 0.0000 0.7929 0.7568  1 Rh 2.04, 1 Tb 2.22
15 Ac 0.0000 0.2044 0.7231  5 O 2.56-2.76
16 O 0.5000 0.2071 0.7432  1 Rh 2.04, 1 Tb 2.22
17 Ac 0.5000 0.7956 0.7769  5 O 2.56-2.76
18 Ac 0.5000 0.7956 0.2231  5 O 2.56-2.76
19 Rh 0.5000 0.2197 0.5000  6 O 2.03-2.04
20 O 0.7509 0.9889 0.5000  1 Rh 2.04, 1 Tb 2.25

***

Entry from the Alexandria database: a relaxed NaLiPd2Cl6 crystal (PBE).

## Properties
For the density of states at the Fermi level, the calculation gives 0.88 states/eV/cell. The value obtained for the raw total energy is -3.40 eV per atom. The calculation puts the density at 3.51 Mg/m³. The calculation puts the uncorrected formation energy at -0.934 eV per atom.

Unit cell a=6.5297 b=6.5311 c=6.9484 alpha=89.99 beta=118.07 gamma=120.02
With the nearest neighbours (Å) after each atom.
Element x y z (fractional)
1 Cl 0.4854 0.0627 0.1622  2 Pd 2.51-2.53, 1 Li 2.63
2 Cl 0.5306 0.9597 0.6713  2 Pd 2.48-2.50, 1 Li 2.62
3 Cl 0.1135 0.4216 0.1624  2 Pd 2.51-2.52, 1 Li 2.63
4 Pd 0.6113 0.8050 0.4022  6 Cl 2.50-2.53
5 Pd 0.6196 0.3091 0.9147  6 Cl 2.48-2.51
6 Cl 0.1155 0.1553 0.6715  2 Pd 2.48-2.50, 1 Li 2.63
7 Na 0.0176 0.5085 0.5119  6 Cl 2.79-2.90
8 Cl 0.7548 0.6908 0.1621  2 Pd 2.51-2.53, 1 Li 2.63
9 Li 0.9913 0.9948 0.9731  6 Cl 2.62-2.63
10 Cl 0.7259 0.5700 0.6712  2 Pd 2.48-2.50, 1 Li 2.62

***

Entry from the Alexandria database: a relaxed ScRh3 crystal (PBE).

## Properties
For the density of states at the Fermi level, the calculation gives 9.08 states/eV/cell. Its formation energy is -0.5335 eV per atom. The value obtained for the raw total energy is -7.63 eV per atom. The calculation puts the density at 9.58 Mg/m³.

Unit cell a=5.6080 b=4.5088 c=4.8503 alpha=90.00 beta=90.00 gamma=90.00
With the nearest neighbours (Å) after each atom.
Element x y z (fractional)
1 Rh 0.5000 0.0000 0.6831  8 Rh 2.73-2.88, 4 Sc 2.81
2 Rh 0.7482 0.5000 0.8343  8 Rh 2.73-2.88, 4 Sc 2.78-2.81
3 Sc 0.0000 0.0000 0.6626  12 Rh 2.78-2.81
4 Rh 0.2482 0.0000 0.1657  8 Rh 2.73-2.88, 4 Sc 2.78-2.81
5 Sc 0.5000 0.5000 0.3374  12 Rh 2.78-2.81
6 Rh 0.0000 0.5000 0.3169  8 Rh 2.73-2.88, 4 Sc 2.81
7 Rh 0.2518 0.5000 0.8343  8 Rh 2.73-2.88, 4 Sc 2.78-2.81
8 Rh 0.7518 0.0000 0.1657  8 Rh 2.73-2.88, 4 Sc 2.78-2.81

***

Entry from the Alexandria database: a relaxed CdIn2Ag crystal (PBE).

## Properties
For the density of states at the Fermi level, the calculation gives 1.75 states/eV/cell. Its formation energy is 0.0158 eV per atom. The value obtained for the raw total energy is -2.29 eV per atom. The calculation puts the density at 8.07 Mg/m³.

Unit cell a=3.2494 b=3.2494 c=8.7647 alpha=90.00 beta=90.00 gamma=90.00
With the nearest neighbours (Å) after each atom.
Element x y z (fractional)
1 Cd 0.5000 0.5000 0.7213  4 Ag 2.96, 4 Cd 3.25, 4 In 3.29
2 In 0.0000 0.0000 0.9896  8 In 3.25-3.44, 4 Cd 3.29
3 In 0.5000 0.5000 0.2809  4 Ag 3.04, 4 In 3.25
4 Ag 0.0000 0.0000 0.5082  4 Cd 2.96, 4 In 3.04, 4 Ag 3.25

***

Entry from the Alexandria database: a relaxed NdSmGePd crystal (PBE).

## Properties
For the density of states at the Fermi level, the calculation gives 1.86 states/eV/cell. Its formation energy is -0.8285 eV per atom. The value obtained for the raw total energy is -5.65 eV per atom. The calculation puts the density at 7.91 Mg/m³.

Unit cell a=4.0851 b=4.3499 c=5.9550 alpha=90.00 beta=110.06 gamma=90.00
With the nearest neighbours (Å) after each atom.
Element x y z (fractional)
1 Sm 0.1364 0.0000 0.2728  4 Ge 3.05, 3 Pd 3.15-3.20
2 Ge 0.5813 0.5000 0.1626  2 Pd 2.81, 4 Sm 3.05, 1 Nd 3.12
3 Pd 0.4222 0.0000 0.8444  2 Ge 2.81, 4 Nd 3.06
4 Nd 0.8601 0.5000 0.7202  4 Pd 3.06, 3 Ge 3.12-3.21

***

Q: The highest raw total energy belongs to which entry?
A: CdIn2Ag

***

Repeat the third record exactly.
Entry from the Alexandria database: a relaxed Pr3Pt2 crystal (PBE).

## Properties
For the density of states at the Fermi level, the calculation gives 14.90 states/eV/cell. Its formation energy is -0.9177 eV per atom. The value obtained for the raw total energy is -6.20 eV per atom. The calculation puts the density at 9.87 Mg/m³.

Unit cell a=7.7737 b=7.7737 c=7.7737 alpha=71.56 beta=71.56 gamma=71.56
With the nearest neighbours (Å) after each atom.
Element x y z (fractional)
1 Pr 0.7993 0.7993 0.7993  6 Pt 2.99-3.20
2 Pr 0.1634 0.6652 0.3951  4 Pt 2.99-3.23
3 Pr 0.6049 0.8366 0.3348  4 Pt 2.99-3.23
4 Pt 0.1640 0.9574 0.5889  7 Pr 2.99-3.23, 1 Pt 3.07
5 Pt 0.5889 0.1640 0.9574  7 Pr 2.99-3.23, 1 Pt 3.07
6 Pr 0.3348 0.6049 0.8366  4 Pt 2.99-3.23
7 Pr 0.3951 0.1634 0.6652  4 Pt 2.99-3.23
8 Pr 0.0000 0.0000 0.0000  6 Pt 3.13, 2 Pr 3.45
9 Pr 0.8366 0.3348 0.6049  4 Pt 2.99-3.23
10 Pt 0.8360 0.0426 0.4111  7 Pr 2.99-3.23, 1 Pt 3.07
11 Pr 0.6652 0.3951 0.1634  4 Pt 2.99-3.23
12 Pt 0.0426 0.4111 0.8360  7 Pr 2.99-3.23, 1 Pt 3.07
13 Pt 0.9574 0.5889 0.1640  7 Pr 2.99-3.23, 1 Pt 3.07
14 Pr 0.2007 0.2007 0.2007  6 Pt 2.99-3.20
15 Pt 0.4111 0.8360 0.0426  7 Pr 2.99-3.23, 1 Pt 3.07

***

Q: Look up the raw total energy of the first one.
A: -3.46 eV per atom

***

Q: Which value of raw total energy does entry 10 give?
A: -7.63 eV per atom